1.
A plane-wave DFT calculation with PBE was carried out for crystalline BiAs2I at its relaxed geometry.

a b c (Å): 7.1395 7.1395 7.1395
angles (deg): 115.60 115.60 97.80
Positions (direct):
Bi (0.0000, 0.0000, 0.0000)
Bi (0.7500, 0.2500, 0.5000)
As (0.1034, 0.6250, 0.9784)
As (0.3750, 0.3534, 0.4784)
As (0.6466, 0.1250, 0.0216)
As (0.8750, 0.8966, 0.5216)
I (0.2500, 0.7500, 0.5000)
I (0.5000, 0.5000, 0.0000)

## Properties
The uncorrected formation energy comes out at 0.41 eV/atom. As for the calculated volume: 33.96 A^3/atom. The calculation puts the total magnetization at 0.000 μB per atom. The energy above the most stable polymorph in this dataset is 0.0000 eV per atom.

***

2.
A plane-wave DFT calculation with PBE was carried out for crystalline ErGePt6 at its relaxed geometry.

a b c (Å): 4.0439 4.0439 8.0464
angles (deg): 90.00 90.00 90.00
Positions (direct):
Er (0.0000, 0.0000, 0.0000)
Ge (0.0000, 0.0000, 0.5000)
Pt (0.0000, 0.5000, 0.2599)
Pt (0.0000, 0.5000, 0.7401)
Pt (0.5000, 0.0000, 0.2599)
Pt (0.5000, 0.0000, 0.7401)
Pt (0.5000, 0.5000, 0.0000)
Pt (0.5000, 0.5000, 0.5000)

## Properties
As for the calculated volume: 16.45 A^3/atom. The formation energy is -63.3 kJ/mol of atoms. The calculation puts the total magnetization at 0.000 μB per atom. The energy above the most stable polymorph in this dataset is 0.0000 eV per atom.